Entry 1:
Material: Mg2MnIn
Method: DFT, PBE-GGA
State: relaxed

a = 4.358 Å, b = 4.235 Å, c = 4.235 Å
α = 90.00°, β = 90.00°, γ = 90.00°
Site moments in Bohr magnetons follow the coordinates.
Sites, in units of the cell vectors:
Mn (0.500, 0.500, 0.000)  3.54
Mg (0.000, 0.000, 0.000)  -0.03
Mg (0.000, 0.500, 0.500)  -0.03
In (0.500, 0.000, 0.500)  -0.08

Computed properties:
As for the total magnetization: 3.4 μB/cell. As for the crystal system: tetragonal. As for the formation energy: 1.56 kcal/mol of atoms. As for the total energy: -14.83 eV/f.u.

=====

Entry 2:
Material: MgMnIn3
Method: DFT, PBE-GGA
State: relaxed

a = 5.106 Å, b = 5.106 Å, c = 5.106 Å
α = 90.00°, β = 90.00°, γ = 90.00°
Site moments in Bohr magnetons follow the coordinates.
Sites, in units of the cell vectors:
In (0.000, 0.000, 0.500)  -0.03
In (0.000, 0.500, 0.000)  -0.08
In (0.500, 0.000, 0.000)  -0.08
Mn (0.000, 0.000, 0.000)  2.30
Mg (0.500, 0.500, 0.500)  0.05

Computed properties:
As for the total magnetization: 2.2 μB/cell. As for the crystal system: cubic. The value obtained for the energy above the most stable polymorph in this dataset is 0.0 kJ/mol of atoms. As for the formation energy: 6.89 kcal/mol of atoms. As for the total energy: -17.49 eV/f.u.

=====

Entry 3:
Material: MgMn2In
Method: DFT, PBE-GGA
State: relaxed

a = 2.972 Å, b = 2.972 Å, c = 7.627 Å
α = 90.00°, β = 90.00°, γ = 90.00°
Site moments in Bohr magnetons follow the coordinates.
Sites, in units of the cell vectors:
Mn (0.500, 0.500, 0.200)  2.82
Mn (0.000, 0.000, 0.038)  -1.94
Mg (0.500, 0.500, 0.795)  0.03
In (0.000, 0.000, 0.467)  -0.04

Computed properties:
As for the total magnetization: 1.0 μB/cell. As for the crystal system: tetragonal. As for the formation energy: 3.53 kcal/mol of atoms. As for the total energy: -22.06 eV/f.u.

=====

Entry 4:
Material: MgMn2In
Method: DFT, PBE-GGA
State: relaxed

a = 3.988 Å, b = 3.019 Å, c = 6.597 Å
α = 63.53°, β = 90.00°, γ = 90.00°
Site moments in Bohr magnetons follow the coordinates.
Sites, in units of the cell vectors:
Mn (0.000, 0.989, 0.011)  3.44
Mn (0.500, 0.268, 0.233)  3.34
In (0.000, 0.519, 0.480)  -0.09
Mg (0.500, 0.725, 0.775)  -0.03

Computed properties:
As for the total magnetization: 6.9 μB/cell. As for the crystal system: monoclinic. As for the formation energy: 5.84 kcal/mol of atoms. As for the total energy: -21.66 eV/f.u.

=====

Entry 5:
Material: MgMn2In
Method: DFT, PBE-GGA
State: relaxed

a = 7.403 Å, b = 7.403 Å, c = 5.943 Å
α = 51.48°, β = 51.48°, γ = 90.00°
Site moments in Bohr magnetons follow the coordinates.
Sites, in units of the cell vectors:
Mg (0.250, 0.750, 0.500)  -0.04
Mg (0.500, 0.500, 0.000)  -0.04
In (0.750, 0.250, 0.500)  -0.12
In (0.000, 0.000, 0.000)  -0.12
Mn (0.627, 0.125, 0.250)  3.46
Mn (0.123, 0.625, 0.250)  3.49
Mn (0.875, 0.877, 0.750)  3.49
Mn (0.375, 0.373, 0.750)  3.46

Computed properties:
As for the total magnetization: 13.9 μB/cell. As for the crystal system: tetragonal. As for the formation energy: 13.70 kcal/mol of atoms. As for the total energy: -20.30 eV/f.u.

=====

Entry 6:
Material: Mg2MnIn
Method: DFT, PBE-GGA
State: relaxed

a = 5.073 Å, b = 5.073 Å, c = 3.295 Å
α = 90.02°, β = 90.02°, γ = 106.52°
Site moments in Bohr magnetons follow the coordinates.
Sites, in units of the cell vectors:
In (0.000, 0.500, 0.500)  -0.04
Mg (0.000, 0.000, 0.000)  -0.04
Mg (0.500, 0.500, 0.000)  -0.04
Mn (0.500, 0.000, 0.500)  3.61

Computed properties:
As for the total magnetization: 3.4 μB/cell. As for the crystal system: orthorhombic. As for the formation energy: 3.13 kcal/mol of atoms. As for the total energy: -14.56 eV/f.u.

=====

Entry 7:
Material: Mg2MnIn
Method: DFT, PBE-GGA
State: relaxed

a = 5.674 Å, b = 5.674 Å, c = 4.735 Å
α = 66.00°, β = 66.00°, γ = 34.65°
Site moments in Bohr magnetons follow the coordinates.
Sites, in units of the cell vectors:
Mg (0.517, 0.517, 0.483)  -0.03
Mg (0.983, 0.983, 0.017)  -0.03
In (0.750, 0.750, 0.750)  -0.08
Mn (0.250, 0.250, 0.250)  3.33

Computed properties:
As for the total magnetization: 3.2 μB/cell. As for the crystal system: monoclinic. As for the formation energy: 3.15 kcal/mol of atoms. As for the total energy: -14.55 eV/f.u.

=====

Entry 8:
Material: Mg2MnIn
Method: DFT, PBE-GGA
State: relaxed

a = 4.785 Å, b = 4.785 Å, c = 4.785 Å
α = 60.00°, β = 60.00°, γ = 60.00°
Site moments in Bohr magnetons follow the coordinates.
Sites, in units of the cell vectors:
Mg (0.750, 0.750, 0.750)  -0.02
Mg (0.000, 0.000, 0.000)  -0.04
In (0.500, 0.500, 0.500)  -0.05
Mn (0.250, 0.250, 0.250)  3.48

Computed properties:
As for the total magnetization: 3.5 μB/cell. As for the crystal system: cubic. As for the formation energy: 2.85 kcal/mol of atoms. As for the total energy: -14.60 eV/f.u.

=====

Entry 9:
Material: Mg2Mn2In
Method: DFT, PBE-GGA
State: relaxed

a = 6.548 Å, b = 6.548 Å, c = 4.209 Å
α = 90.00°, β = 90.00°, γ = 90.00°
Site moments in Bohr magnetons follow the coordinates.
Sites, in units of the cell vectors:
Mn (0.110, 0.390, 0.000)  1.54
Mn (0.890, 0.610, 0.000)  1.54
Mn (0.390, 0.890, 0.000)  1.54
Mn (0.610, 0.110, 0.000)  1.54
Mg (0.326, 0.174, 0.500)  -0.02
Mg (0.674, 0.826, 0.500)  -0.02
Mg (0.826, 0.326, 0.500)  -0.02
Mg (0.174, 0.674, 0.500)  -0.02
In (0.500, 0.500, 0.000)  -0.06
In (0.000, 0.000, 0.000)  -0.06

Computed properties:
As for the total magnetization: 6.0 μB/cell. As for the crystal system: tetragonal. As for the formation energy: 6.47 kcal/mol of atoms. As for the total energy: -22.86 eV/f.u.

=====

Entry 10:
Material: Mg2MnIn
Method: DFT, PBE-GGA
State: relaxed

a = 4.062 Å, b = 3.216 Å, c = 6.965 Å
α = 62.47°, β = 90.00°, γ = 90.00°
Site moments in Bohr magnetons follow the coordinates.
Sites, in units of the cell vectors:
Mg (0.000, 0.981, 0.019)  -0.02
Mg (0.000, 0.519, 0.481)  -0.02
Mn (0.500, 0.250, 0.250)  3.58
In (0.500, 0.750, 0.750)  -0.02

Computed properties:
As for the total magnetization: 3.6 μB/cell. As for the crystal system: orthorhombic. As for the formation energy: 2.95 kcal/mol of atoms. As for the total energy: -14.59 eV/f.u.

=====

Entry 11:
Material: Mg4MnIn
Method: DFT, PBE-GGA
State: relaxed

a = 5.751 Å, b = 5.751 Å, c = 5.751 Å
α = 60.00°, β = 60.00°, γ = 60.00°
Site moments in Bohr magnetons follow the coordinates.
Sites, in units of the cell vectors:
Mg (0.376, 0.873, 0.376)  -0.01
Mg (0.376, 0.376, 0.376)  -0.01
Mg (0.376, 0.376, 0.873)  -0.01
Mg (0.873, 0.376, 0.376)  -0.01
In (0.000, 0.000, 0.000)  -0.01
Mn (0.750, 0.750, 0.750)  4.02

Computed properties:
As for the total magnetization: 4.1 μB/cell. As for the crystal system: cubic. As for the formation energy: 6.32 kcal/mol of atoms. As for the total energy: -16.64 eV/f.u.

=====

Entry 12:
Material: Mg2MnIn
Method: DFT, PBE-GGA
State: relaxed

a = 7.882 Å, b = 7.882 Å, c = 6.280 Å
α = 51.13°, β = 51.13°, γ = 90.00°
Site moments in Bohr magnetons follow the coordinates.
Sites, in units of the cell vectors:
Mg (0.141, 0.625, 0.250)  -0.02
Mg (0.609, 0.125, 0.250)  -0.02
Mg (0.875, 0.859, 0.750)  -0.02
Mg (0.375, 0.391, 0.750)  -0.02
In (0.750, 0.250, 0.500)  -0.04
In (0.000, 0.000, 0.000)  -0.04
Mn (0.500, 0.500, 0.000)  3.69
Mn (0.250, 0.750, 0.500)  3.69

Computed properties:
As for the total magnetization: 7.4 μB/cell. As for the crystal system: tetragonal. As for the formation energy: 9.25 kcal/mol of atoms. As for the total energy: -13.49 eV/f.u.

=====

Entry 13:
Material: MgMnIn
Method: DFT, PBE-GGA
State: relaxed

a = 5.173 Å, b = 5.173 Å, c = 5.173 Å
α = 145.01°, β = 132.75°, γ = 60.13°
Site moments in Bohr magnetons follow the coordinates.
Sites, in units of the cell vectors:
Mn (0.667, 0.667, 0.000)  3.49
Mg (0.329, 0.329, 0.000)  -0.02
In (0.004, 0.004, 0.000)  -0.07

Computed properties:
As for the total magnetization: 3.6 μB/cell. As for the crystal system: orthorhombic. As for the formation energy: 4.44 kcal/mol of atoms. As for the total energy: -12.92 eV/f.u.

=====

Entry 14:
Material: MgMnIn3
Method: DFT, PBE-GGA
State: relaxed

a = 5.378 Å, b = 5.378 Å, c = 5.378 Å
α = 90.00°, β = 90.00°, γ = 90.00°
Site moments in Bohr magnetons follow the coordinates.
Sites, in units of the cell vectors:
In (0.000, 0.000, 0.500)  -0.01
In (0.000, 0.500, 0.000)  -0.04
In (0.500, 0.000, 0.000)  -0.02
Mn (0.500, 0.500, 0.500)  4.41
Mg (0.000, 0.000, 0.000)  0.01

Computed properties:
As for the total magnetization: 4.7 μB/cell. As for the crystal system: cubic. The value obtained for the energy above the most stable polymorph in this dataset is 44.3 kJ/mol of atoms. As for the formation energy: 17.49 kcal/mol of atoms. As for the total energy: -15.19 eV/f.u.

=====

Entry 15:
Material: Mg2MnIn
Method: DFT, PBE-GGA
State: relaxed

a = 5.149 Å, b = 5.149 Å, c = 5.149 Å
α = 130.18°, β = 130.18°, γ = 73.11°
Site moments in Bohr magnetons follow the coordinates.
Sites, in units of the cell vectors:
Mg (0.000, 0.000, 0.000)  -0.03
Mg (0.250, 0.750, 0.500)  -0.04
Mn (0.500, 0.500, 0.000)  3.44
In (0.750, 0.250, 0.500)  -0.08

Computed properties:
As for the total magnetization: 3.3 μB/cell. As for the crystal system: tetragonal. As for the formation energy: 2.47 kcal/mol of atoms. As for the total energy: -14.67 eV/f.u.

=====

Entry 16:
Material: MgMn2In
Method: DFT, PBE-GGA
State: relaxed

a = 5.434 Å, b = 5.434 Å, c = 4.593 Å
α = 66.39°, β = 66.39°, γ = 34.43°
Site moments in Bohr magnetons follow the coordinates.
Sites, in units of the cell vectors:
Mg (0.257, 0.257, 0.242)  -0.04
In (0.491, 0.491, 0.509)  -0.11
Mn (0.012, 0.012, 0.988)  3.33
Mn (0.740, 0.740, 0.761)  3.36

Computed properties:
As for the total magnetization: 6.6 μB/cell. As for the crystal system: monoclinic. As for the formation energy: 5.19 kcal/mol of atoms. As for the total energy: -21.77 eV/f.u.

=====

Entry 17:
Material: Mg2MnIn
Method: DFT, PBE-GGA
State: relaxed

a = 3.181 Å, b = 3.181 Å, c = 7.867 Å
α = 90.00°, β = 90.00°, γ = 90.00°
Site moments in Bohr magnetons follow the coordinates.
Sites, in units of the cell vectors:
Mg (0.000, 0.000, 0.468)  -0.03
Mg (0.000, 0.000, 0.032)  -0.03
Mn (0.500, 0.500, 0.250)  3.26
In (0.500, 0.500, 0.750)  0.01

Computed properties:
As for the total magnetization: 3.2 μB/cell. As for the crystal system: tetragonal. As for the formation energy: 2.51 kcal/mol of atoms. As for the total energy: -14.66 eV/f.u.

=====

Entry 18:
Material: MgMn2In
Method: DFT, PBE-GGA
State: relaxed

a = 5.236 Å, b = 5.236 Å, c = 5.236 Å
α = 135.51°, β = 135.51°, γ = 64.74°
Site moments in Bohr magnetons follow the coordinates.
Sites, in units of the cell vectors:
Mn (0.000, 0.000, 0.000)  3.40
Mn (0.250, 0.750, 0.500)  3.37
Mg (0.750, 0.250, 0.500)  -0.04
In (0.500, 0.500, 0.000)  -0.14

Computed properties:
As for the total magnetization: 6.7 μB/cell. As for the crystal system: tetragonal. As for the formation energy: 5.20 kcal/mol of atoms. As for the total energy: -21.77 eV/f.u.

=====

Entry 19:
Material: Mg2MnIn
Method: DFT, PBE-GGA
State: relaxed

a = 5.371 Å, b = 5.371 Å, c = 5.371 Å
α = 133.42°, β = 133.42°, γ = 68.00°
Site moments in Bohr magnetons follow the coordinates.
Sites, in units of the cell vectors:
Mg (0.500, 0.500, 0.000)  -0.03
Mg (0.000, 0.000, 0.000)  -0.03
Mn (0.250, 0.750, 0.500)  3.64
In (0.750, 0.250, 0.500)  -0.06

Computed properties:
As for the total magnetization: 3.6 μB/cell. As for the crystal system: tetragonal. As for the formation energy: 2.92 kcal/mol of atoms. As for the total energy: -14.59 eV/f.u.

=====

Entry 20:
Material: Mg2MnIn
Method: DFT, PBE-GGA
State: relaxed

a = 9.892 Å, b = 9.892 Å, c = 9.892 Å
α = 18.40°, β = 18.40°, γ = 18.40°
Site moments in Bohr magnetons follow the coordinates.
Sites, in units of the cell vectors:
Mn (0.250, 0.250, 0.250)  3.71
In (0.750, 0.750, 0.750)  0.00
Mg (0.994, 0.994, 0.994)  -0.02
Mg (0.506, 0.506, 0.506)  -0.02

Computed properties:
As for the total magnetization: 3.8 μB/cell. As for the crystal system: trigonal. As for the formation energy: 4.25 kcal/mol of atoms. As for the total energy: -14.36 eV/f.u.